(1)
First-principles (PBE) data for an optimized crystal structure of NaTl2ZnS, as listed in the Alexandria database.

* Fermi-level density of states: 0.308 states/eV per atom
* total DFT energy (no corrections): -2.147 eV/atom
* ΔE_f (raw): 144 meV per atom
* theoretical density: 6.0 g/cm3

POSCAR file:
```
NaTl2ZnS
1.0
5.2463 0.0000 0.0000
0.0000 5.2463 0.0000
0.0000 0.0000 5.3241
Na Tl Zn S
1 2 1 1
Direct
0.0000 0.0000 0.0000
0.0000 0.5000 0.5000
0.5000 0.0000 0.5000
0.0000 0.0000 0.5000
0.5000 0.5000 0.0000
```



(2)
First-principles (PBE) data for an optimized crystal structure of Na2ZrTlS4, as listed in the Alexandria database.

* Fermi-level density of states: 0.256 states/eV per atom
* total DFT energy (no corrections): -4.826 eV/atom
* ΔE_f (raw): -1068 meV per atom
* theoretical density: 4.3 g/cm3

POSCAR file:
```
Na2ZrTlS4
1.0
6.9912 0.0000 0.0000
0.0000 3.8680 0.0000
-2.3078 0.0000 6.7011
Na Zr Tl S
2 1 1 4
Direct
0.0000 0.0000 0.0000
0.0000 0.5000 0.5000
0.5000 0.0000 0.5000
0.5000 0.5000 0.0000
0.2757 0.0000 0.7242
0.2775 0.5000 0.2815
0.7225 0.5000 0.7185
0.7243 0.0000 0.2758
```



(3)
First-principles (PBE) data for an optimized crystal structure of NaTm4S6, as listed in the Alexandria database.

* Fermi-level density of states: 0.206 states/eV per atom
* total DFT energy (no corrections): -5.923 eV/atom
* ΔE_f (raw): -1926 meV per atom
* theoretical density: 5.9 g/cm3

POSCAR file:
```
NaTm4S6
1.0
1.9275 -6.4216 0.0000
1.9275 6.4216 0.0000
0.0000 0.0000 20.2062
Na Tm S
2 8 12
Direct
0.1543 0.8457 0.7500
0.8457 0.1543 0.2500
0.0985 0.9015 0.1371
0.0985 0.9015 0.3629
0.3679 0.6321 0.0433
0.3679 0.6321 0.4567
0.6321 0.3679 0.5433
0.6321 0.3679 0.9567
0.9015 0.0985 0.6371
0.9015 0.0985 0.8629
0.0000 0.0000 0.0000
0.0000 0.0000 0.5000
0.1862 0.8138 0.2500
0.2736 0.7264 0.5797
0.2736 0.7264 0.9203
0.4615 0.5385 0.1585
0.4615 0.5385 0.3415
0.5385 0.4615 0.6585
0.5385 0.4615 0.8415
0.7264 0.2736 0.0797
0.7264 0.2736 0.4203
0.8138 0.1862 0.7500
```



(4)
First-principles (PBE) data for an optimized crystal structure of Na3Tm2US6, as listed in the Alexandria database.

* Fermi-level density of states: 0.697 states/eV per atom
* total DFT energy (no corrections): -5.732 eV/atom
* ΔE_f (raw): -1653 meV per atom
* theoretical density: 5.1 g/cm3

POSCAR file:
```
Na3Tm2US6
1.0
3.4315 -5.9384 0.0000
3.4315 5.9384 0.0000
-2.2859 0.0000 6.6884
Na Tm U S
3 2 1 6
Direct
0.0000 0.0000 0.0000
0.3328 0.6672 0.0000
0.6672 0.3328 0.0000
0.1666 0.8334 0.5000
0.8334 0.1666 0.5000
0.5000 0.5000 0.5000
0.0860 0.4245 0.2739
0.2372 0.2372 0.7265
0.4245 0.0860 0.2739
0.5755 0.9140 0.7261
0.7628 0.7628 0.2735
0.9140 0.5755 0.7261
```



(5)
First-principles (PBE) data for an optimized crystal structure of NaTm2US6, as listed in the Alexandria database.

* Fermi-level density of states: 0.033 states/eV per atom
* total DFT energy (no corrections): -6.289 eV/atom
* ΔE_f (raw): -1658 meV per atom
* theoretical density: 5.2 g/cm3

POSCAR file:
```
NaTm2US6
1.0
3.4281 1.9792 6.1688
-3.4281 1.9792 6.1688
0.0000 -3.9584 6.1688
Na Tm U S
1 2 1 6
Direct
0.0000 0.0000 0.0000
0.2847 0.2847 0.2847
0.7968 0.7968 0.7968
0.4799 0.4799 0.4799
0.0812 0.6596 0.4233
0.2087 0.5715 0.8748
0.4233 0.0812 0.6596
0.5715 0.8748 0.2087
0.6596 0.4233 0.0812
0.8748 0.2087 0.5715
```



(6)
First-principles (PBE) data for an optimized crystal structure of NaTm4US8, as listed in the Alexandria database.

* Fermi-level density of states: 0.579 states/eV per atom
* total DFT energy (no corrections): -6.328 eV/atom
* ΔE_f (raw): -1791 meV per atom
* theoretical density: 5.4 g/cm3

POSCAR file:
```
NaTm4US8
1.0
3.9982 2.3084 6.6018
-3.9982 2.3084 6.6018
0.0000 -4.6167 6.6018
Na Tm U S
1 4 1 8
Direct
0.0000 0.0000 0.0000
0.3691 0.3691 0.8855
0.3691 0.8855 0.3691
0.7476 0.7476 0.7476
0.8855 0.3691 0.3691
0.3708 0.3708 0.3708
0.1333 0.1333 0.5900
0.1333 0.5900 0.1333
0.1352 0.1352 0.1352
0.1453 0.6208 0.6208
0.5900 0.1333 0.1333
0.6153 0.6153 0.6153
0.6208 0.1453 0.6208
0.6208 0.6208 0.1453
```



What did the second record say?
First-principles (PBE) data for an optimized crystal structure of Na2ZrTlS4, as listed in the Alexandria database.

* Fermi-level density of states: 0.256 states/eV per atom
* total DFT energy (no corrections): -4.826 eV/atom
* ΔE_f (raw): -1068 meV per atom
* theoretical density: 4.3 g/cm3

POSCAR file:
```
Na2ZrTlS4
1.0
6.9912 0.0000 0.0000
0.0000 3.8680 0.0000
-2.3078 0.0000 6.7011
Na Zr Tl S
2 1 1 4
Direct
0.0000 0.0000 0.0000
0.0000 0.5000 0.5000
0.5000 0.0000 0.5000
0.5000 0.5000 0.0000
0.2757 0.0000 0.7242
0.2775 0.5000 0.2815
0.7225 0.5000 0.7185
0.7243 0.0000 0.2758
```



- Which of these has the lowest Fermi-level density of states?
  NaTm2US6



- The highest total DFT energy (no corrections) belongs to which entry?
  NaTl2ZnS



- The highest ΔE_f (raw) belongs to which entry?
  NaTl2ZnS